VASP calculation (GGA-PBE) on an optimized crystal structure of LiPrEuSn.

Cell: 5.481 5.481 5.481 Å, 60.00 60.00 60.00°
Last column: magnetic moment on the atom in μB.
Atoms (fractional coordinates):
Eu: 0.000 0.000 0.000  6.90
Pr: 0.500 0.500 0.500  0.14
Sn: 0.250 0.250 0.250  -0.04
Li: 0.750 0.750 0.750  0.02

* calculated total energy: -5.673 eV per atom
* DFT formation energy: -166 kJ/mol of formula units
* crystal system: cubic
* spin magnetization: 7.54 μB per cell